K2Pb4Au5: optimized geometry, PBE.

Summary:
N(E_F) ... 0.331 states/eV/atom
Space group ... Fmmm
Formation enthalpy at 0 K ... -130.5 meV per atom
DFT total energy ... -0.1164 Ha/atom

Lattice parameters (Å, degrees): 6.027 6.519 9.842 81.86 72.17 62.47
Fractional coordinates of all 11 atoms:
Pb  0.539  0.672  0.250
K  0.121  0.000  0.758
Au  0.000  0.500  0.000
Pb  0.211  0.328  0.250
Au  0.250  0.500  0.500
K  0.879  0.000  0.242
Pb  0.461  0.328  0.750
Au  0.750  0.500  0.500
Pb  0.789  0.672  0.750
Au  0.500  0.000  0.000
Au  0.500  0.500  0.000


KPb3Au: optimized geometry, PBE.

Summary:
N(E_F) ... 0.445 states/eV/atom
Space group ... Cmmm
Energy relative to the lowest polymorph listed for this composition ... 0.0 kJ/mol of atoms
Formation enthalpy at 0 K ... -137.1 meV per atom
DFT total energy ... -0.1190 Ha/atom

Lattice parameters (Å, degrees): 4.528 8.592 8.592 107.42 90.00 90.00
Fractional coordinates of all 10 atoms:
Pb  0.000  0.500  0.500
Au  0.500  0.701  0.701
K  0.500  0.714  0.286
Pb  0.000  0.076  0.324
K  0.500  0.286  0.714
Pb  0.000  0.324  0.076
Pb  0.000  0.924  0.676
Au  0.500  0.299  0.299
Pb  0.000  0.676  0.924
Pb  0.500  0.000  0.000


KPbAu2: optimized geometry, PBE.

Summary:
N(E_F) ... 0.374 states/eV/atom
Space group ... P4mm
Formation enthalpy at 0 K ... -77.2 meV per atom
DFT total energy ... -0.1072 Ha/atom

Lattice parameters (Å, degrees): 4.371 4.371 6.163 90.00 90.00 90.00
Fractional coordinates of all 4 atoms:
Au  0.500  0.500  0.341
Pb  0.500  0.500  0.859
K  0.000  0.000  0.402
Au  0.000  0.000  0.897


K2Pb2Au: optimized geometry, PBE.

Summary:
N(E_F) ... 0.420 states/eV/atom
Space group ... I4/mmm
Energy relative to the lowest polymorph listed for this composition ... 9.8 kJ/mol of atoms
Formation enthalpy at 0 K ... -85.1 meV per atom
DFT total energy ... -0.0979 Ha/atom

Lattice parameters (Å, degrees): 4.412 4.412 10.512 77.88 77.88 90.00
Fractional coordinates of all 5 atoms:
Pb  0.250  0.750  0.500
Au  0.000  0.000  0.000
K  0.408  0.408  0.184
K  0.592  0.592  0.816
Pb  0.750  0.250  0.500


K3Pb8Au3: optimized geometry, PBE.

Summary:
N(E_F) ... 0.509 states/eV/atom
Space group ... Immm
Energy relative to the lowest polymorph listed for this composition ... 2.5 kJ/mol of atoms
Formation enthalpy at 0 K ... -119.6 meV per atom
DFT total energy ... -0.1167 Ha/atom

Lattice parameters (Å, degrees): 5.031 9.989 9.989 72.99 75.41 75.41
Fractional coordinates of all 14 atoms:
Au  0.500  0.000  0.000
K  0.500  0.500  0.500
Au  0.000  0.727  0.273
Au  0.000  0.273  0.727
Pb  0.389  0.901  0.320
Pb  0.822  0.813  0.542
Pb  0.389  0.320  0.901
Pb  0.822  0.542  0.813
Pb  0.178  0.187  0.458
K  0.159  0.841  0.841
Pb  0.178  0.458  0.187
Pb  0.611  0.099  0.680
K  0.841  0.159  0.159
Pb  0.611  0.680  0.099


K2Pb5Au4: optimized geometry, PBE.

Summary:
N(E_F) ... 0.401 states/eV/atom
Space group ... C2/m
Formation enthalpy at 0 K ... -120.6 meV per atom
DFT total energy ... -0.1175 Ha/atom

Lattice parameters (Å, degrees): 6.939 7.380 7.963 75.42 64.17 61.96
Fractional coordinates of all 11 atoms:
K  0.298  0.725  0.679
K  0.702  0.275  0.321
Pb  0.231  0.197  0.839
Pb  0.000  0.500  0.500
Au  0.721  0.908  0.651
Au  0.279  0.092  0.349
Pb  0.266  0.803  0.161
Pb  0.769  0.803  0.161
Au  0.250  0.428  0.072
Au  0.750  0.572  0.928
Pb  0.734  0.197  0.839


K3PbAu2: optimized geometry, PBE.

Summary:
N(E_F) ... 0.333 states/eV/atom
Space group ... P2_1/c
Formation enthalpy at 0 K ... -220.3 meV per atom
DFT total energy ... -0.0911 Ha/atom

Lattice parameters (Å, degrees): 9.054 9.753 11.533 90.00 121.56 90.00
Fractional coordinates of all 24 atoms:
Au  0.194  0.125  0.178
Au  0.806  0.875  0.822
K  0.415  0.761  0.652
K  0.915  0.739  0.152
K  0.744  0.090  0.019
K  0.085  0.261  0.848
Au  0.681  0.908  0.262
K  0.426  0.580  0.106
Au  0.694  0.375  0.678
K  0.926  0.920  0.606
Pb  0.076  0.405  0.145
K  0.574  0.420  0.894
Au  0.319  0.092  0.738
K  0.256  0.910  0.981
Pb  0.576  0.095  0.645
Au  0.819  0.408  0.238
Pb  0.424  0.905  0.355
Au  0.306  0.625  0.322
K  0.074  0.080  0.394
K  0.756  0.590  0.481
Pb  0.924  0.595  0.855
Au  0.181  0.592  0.762
K  0.585  0.239  0.348
K  0.244  0.410  0.519


KPb8Au2: optimized geometry, PBE.

Summary:
N(E_F) ... 0.337 states/eV/atom
Space group ... P4/mmm
Energy relative to the lowest polymorph listed for this composition ... 6.9 kJ/mol of atoms
Formation enthalpy at 0 K ... 52.7 meV per atom
DFT total energy ... -0.1227 Ha/atom

Lattice parameters (Å, degrees): 6.773 6.773 9.209 90.00 90.00 90.00
Fractional coordinates of all 11 atoms:
Pb  0.753  0.753  0.809
Pb  0.247  0.247  0.191
Pb  0.247  0.753  0.191
Pb  0.753  0.247  0.191
K  0.500  0.500  0.500
Pb  0.753  0.753  0.191
Pb  0.753  0.247  0.809
Pb  0.247  0.753  0.809
Au  0.500  0.000  0.000
Au  0.000  0.500  0.000
Pb  0.247  0.247  0.809


KPbAu2: optimized geometry, PBE.

Summary:
N(E_F) ... 0.672 states/eV/atom
Space group ... I4_1/amd
Formation enthalpy at 0 K ... -56.1 meV per atom
DFT total energy ... -0.1064 Ha/atom

Lattice parameters (Å, degrees): 5.462 5.462 10.484 74.90 74.90 90.00
Fractional coordinates of all 8 atoms:
Pb  0.000  0.000  0.000
Au  0.875  0.625  0.250
Au  0.875  0.125  0.750
K  0.500  0.500  0.000
Pb  0.750  0.250  0.500
Au  0.375  0.125  0.750
K  0.250  0.750  0.500
Au  0.875  0.125  0.250


KPbAu4: optimized geometry, PBE.

Summary:
N(E_F) ... 0.811 states/eV/atom
Space group ... F-43m
Formation enthalpy at 0 K ... -130.5 meV per atom
DFT total energy ... -0.1145 Ha/atom

Lattice parameters (Å, degrees): 5.769 5.769 5.769 60.00 60.00 60.00
Fractional coordinates of all 6 atoms:
Au  0.625  0.625  0.625
Au  0.625  0.126  0.625
Pb  0.000  0.000  0.000
Au  0.126  0.625  0.625
Au  0.625  0.625  0.126
K  0.250  0.250  0.250


KPbAu: optimized geometry, PBE.

Summary:
N(E_F) ... 0.608 states/eV/atom
Space group ... P-6m2
Formation enthalpy at 0 K ... -180.9 meV per atom
DFT total energy ... -0.1057 Ha/atom

Lattice parameters (Å, degrees): 5.027 5.027 4.322 90.00 90.00 120.00
Fractional coordinates of all 3 atoms:
Au  0.000  0.000  0.833
K  0.667  0.333  0.333
Pb  0.333  0.667  0.833


K3Pb2Au4: optimized geometry, PBE.

Summary:
N(E_F) ... 0.595 states/eV/atom
Space group ... C2/m
Formation enthalpy at 0 K ... -221.9 meV per atom
DFT total energy ... -0.1054 Ha/atom

Lattice parameters (Å, degrees): 4.788 6.393 10.346 98.12 76.62 68.01
Fractional coordinates of all 9 atoms:
Au  0.045  0.538  0.372
K  0.724  0.159  0.393
Au  0.778  0.525  0.919
K  0.276  0.841  0.607
Pb  0.453  0.314  0.780
Au  0.955  0.462  0.628
Au  0.222  0.475  0.081
Pb  0.547  0.686  0.220
K  0.000  0.000  0.000


K3Pb4Au4: optimized geometry, PBE.

Summary:
N(E_F) ... 0.228 states/eV/atom
Space group ... Immm
Formation enthalpy at 0 K ... -249.7 meV per atom
DFT total energy ... -0.1135 Ha/atom

Lattice parameters (Å, degrees): 4.814 8.217 9.484 115.67 104.70 90.00
Fractional coordinates of all 11 atoms:
Au  0.784  0.284  0.569
Au  0.216  0.716  0.431
Au  0.500  0.189  0.000
K  0.116  0.116  0.231
Pb  0.672  0.873  0.344
Au  0.500  0.811  0.000
K  0.000  0.500  0.000
Pb  0.328  0.529  0.656
K  0.884  0.884  0.769
Pb  0.328  0.127  0.656
Pb  0.672  0.471  0.344


KPb6Au: optimized geometry, PBE.

Summary:
N(E_F) ... 0.209 states/eV/atom
Space group ... P4/mmm
Formation enthalpy at 0 K ... -80.9 meV per atom
DFT total energy ... -0.1253 Ha/atom

Lattice parameters (Å, degrees): 5.002 5.002 10.885 90.00 90.00 90.00
Fractional coordinates of all 8 atoms:
K  0.000  0.000  0.000
Pb  0.000  0.500  0.664
Pb  0.500  0.500  0.852
Pb  0.000  0.500  0.336
Pb  0.500  0.000  0.664
Au  0.000  0.000  0.500
Pb  0.500  0.000  0.336
Pb  0.500  0.500  0.148


KPb5Au2: optimized geometry, PBE.

Summary:
N(E_F) ... 0.317 states/eV/atom
Space group ... Immm
Formation enthalpy at 0 K ... -118.2 meV per atom
DFT total energy ... -0.1247 Ha/atom

Lattice parameters (Å, degrees): 4.535 8.014 8.014 65.16 73.57 73.57
Fractional coordinates of all 8 atoms:
Au  0.245  0.255  0.255
Au  0.755  0.745  0.745
Pb  0.350  0.451  0.848
Pb  0.650  0.549  0.152
Pb  0.350  0.848  0.451
Pb  0.000  0.500  0.500
K  0.000  0.000  0.000
Pb  0.650  0.152  0.549


KPbAu2: optimized geometry, PBE.

Summary:
N(E_F) ... 0.398 states/eV/atom
Space group ... P2_1/m
Formation enthalpy at 0 K ... -212.6 meV per atom
DFT total energy ... -0.1122 Ha/atom

Lattice parameters (Å, degrees): 4.966 6.785 7.979 90.00 90.00 111.57
Fractional coordinates of all 8 atoms:
Au  0.737  0.474  0.576
Pb  0.852  0.703  0.250
Au  0.263  0.526  0.076
K  0.565  0.127  0.250
Au  0.737  0.474  0.924
Au  0.263  0.526  0.424
K  0.435  0.873  0.750
Pb  0.148  0.297  0.750


KPbAu: optimized geometry, PBE.

Summary:
N(E_F) ... 0.468 states/eV/atom
Space group ... P2_1/c
Formation enthalpy at 0 K ... -252.9 meV per atom
DFT total energy ... -0.1083 Ha/atom

Lattice parameters (Å, degrees): 7.491 6.227 8.862 73.89 90.00 90.00
Fractional coordinates of all 12 atoms:
Pb  0.412  0.727  0.027
K  0.603  0.301  0.398
Au  0.834  0.371  0.725
K  0.397  0.699  0.602
Au  0.666  0.871  0.225
Au  0.166  0.629  0.275
Pb  0.088  0.227  0.527
K  0.103  0.199  0.102
Pb  0.588  0.273  0.973
K  0.897  0.801  0.898
Au  0.334  0.129  0.775
Pb  0.912  0.773  0.473


KPb3Au2: optimized geometry, PBE.

Summary:
N(E_F) ... 0.406 states/eV/atom
Space group ... Cmcm
Energy relative to the lowest polymorph listed for this composition ... 5.4 kJ/mol of atoms
Formation enthalpy at 0 K ... -106.6 meV per atom
DFT total energy ... -0.1189 Ha/atom

Lattice parameters (Å, degrees): 5.785 8.539 8.539 117.91 90.00 90.00
Fractional coordinates of all 12 atoms:
Pb  0.750  0.095  0.095
Pb  0.750  0.119  0.498
Au  0.500  0.822  0.178
K  0.250  0.337  0.337
K  0.750  0.663  0.663
Pb  0.250  0.905  0.905
Au  0.000  0.178  0.822
Au  0.500  0.178  0.822
Pb  0.750  0.498  0.119
Pb  0.250  0.502  0.881
Pb  0.250  0.881  0.502
Au  0.000  0.822  0.178


K3PbAu5: optimized geometry, PBE.

Summary:
N(E_F) ... 0.206 states/eV/atom
Space group ... Imma
Formation enthalpy at 0 K ... -316.6 meV per atom
DFT total energy ... -0.1071 Ha/atom

Lattice parameters (Å, degrees): 11.216 11.216 11.216 150.15 134.86 55.06
Fractional coordinates of all 18 atoms:
Pb  0.580  0.250  0.330
Au  0.680  0.144  0.536
Au  0.817  0.317  0.000
Au  0.000  0.500  0.500
Au  0.183  0.683  0.000
K  0.874  0.750  0.124
K  0.464  0.584  0.880
Au  0.108  0.644  0.464
Au  0.817  0.817  0.500
Au  0.183  0.183  0.500
Au  0.892  0.356  0.536
Au  0.500  0.000  0.500
K  0.536  0.416  0.120
Au  0.320  0.856  0.464
K  0.126  0.250  0.876
K  0.203  0.084  0.120
K  0.797  0.916  0.880
Pb  0.420  0.750  0.670


KPbAu10: optimized geometry, PBE.

Summary:
N(E_F) ... 0.412 states/eV/atom
Space group ... Pmmm
Formation enthalpy at 0 K ... -105.5 meV per atom
DFT total energy ... -0.1190 Ha/atom

Lattice parameters (Å, degrees): 4.627 5.731 9.908 90.00 90.00 90.00
Fractional coordinates of all 12 atoms:
Au  0.500  0.252  0.252
Au  0.000  0.000  0.337
Au  0.000  0.500  0.173
K  0.000  0.000  0.000
Au  0.500  0.748  0.252
Au  0.000  0.000  0.663
Au  0.500  0.000  0.500
Au  0.000  0.500  0.827
Au  0.500  0.252  0.748
Au  0.500  0.748  0.748
Pb  0.000  0.500  0.500
Au  0.500  0.500  0.000